Record 1
Mn3HgC: optimized geometry, PBE-GGA.

Summary:
Symmetry   No. 221
E above lowest polymorph   0.000 eV per atom
DFT formation energy   0.128 eV per atom

a = 3.984 Å, b = 3.984 Å, c = 3.984 Å
α = 90.00°, β = 90.00°, γ = 90.00°
Fractional coordinates of all 5 atoms:
Mn 0.000 0.500 0.000
Mn 0.000 0.000 0.500
Mn 0.500 0.000 0.000
Hg 0.500 0.500 0.500
C 0.000 0.000 0.000


Record 2
BaNaVSe4: optimized geometry, PBE-GGA.

Summary:
Symmetry   No. 11
ΔE_f (raw)   -1153 meV/atom

a = 6.932 Å, b = 7.057 Å, c = 8.938 Å
α = 90.00°, β = 108.53°, γ = 90.00°
Fractional coordinates of all 14 atoms:
Na 0.228 0.250 0.551
Na 0.772 0.750 0.449
Se 0.393 0.750 0.563
Se 0.005 0.995 0.750
Se 0.591 0.250 0.862
Se 0.409 0.750 0.138
Se 0.995 0.005 0.250
Se 0.607 0.250 0.437
Se 0.005 0.505 0.750
Se 0.995 0.495 0.250
V 0.788 0.250 0.695
V 0.212 0.750 0.305
Ba 0.273 0.250 0.074
Ba 0.727 0.750 0.926


Record 3
KNpZn2O8: optimized geometry, PBE-GGA.

Summary:
Symmetry   No. 119
ΔE_f (raw)   -1325 meV/atom

a = 6.164 Å, b = 6.164 Å, c = 6.164 Å
α = 114.79°, β = 114.79°, γ = 99.29°
Fractional coordinates of all 12 atoms:
O 0.349 0.057 0.292
O 0.605 0.720 0.885
O 0.765 0.057 0.708
O 0.943 0.235 0.292
O 0.836 0.720 0.115
O 0.280 0.395 0.115
O 0.280 0.164 0.885
O 0.943 0.651 0.708
Np 0.000 0.000 0.000
Zn 0.500 0.500 0.000
Zn 0.750 0.250 0.500
K 0.250 0.750 0.500


Record 4
CaYTl: optimized geometry, PBE-GGA.

Summary:
Symmetry   No. 63
E above lowest polymorph   0.074 eV per atom
DFT formation energy   -0.274 eV per atom

a = 3.925 Å, b = 8.785 Å, c = 5.498 Å
α = 89.99°, β = 90.00°, γ = 102.90°
Fractional coordinates of all 6 atoms:
Tl 0.675 0.607 0.116
Tl 0.505 0.269 0.615
Y 0.318 0.894 0.116
Y 0.862 0.982 0.616
Ca 0.011 0.281 0.115
Ca 0.169 0.595 0.616


Record 5
DyCuGe2Au: optimized geometry, PBE-GGA.

Summary:
Symmetry   No. 119
DFT formation energy   -0.464 eV per atom

a = 4.195 Å, b = 4.195 Å, c = 6.076 Å
α = 110.19°, β = 110.19°, γ = 90.00°
Fractional coordinates of all 5 atoms:
Dy 0.000 0.000 0.000
Ge 0.615 0.615 0.230
Ge 0.385 0.385 0.770
Cu 0.250 0.750 0.500
Au 0.750 0.250 0.500


Record 6
Y3Sn2O: optimized geometry, PBE-GGA.

Summary:
Symmetry   No. 63
ΔE_f (raw)   -1365 meV/atom

a = 6.515 Å, b = 6.777 Å, c = 6.777 Å
α = 101.53°, β = 90.00°, γ = 90.00°
Fractional coordinates of all 12 atoms:
Y 0.000 0.840 0.160
Y 0.250 0.340 0.340
Y 0.750 0.660 0.660
Y 0.500 0.160 0.840
Y 0.000 0.160 0.840
Y 0.500 0.840 0.160
Sn 0.750 0.172 0.455
Sn 0.250 0.828 0.545
Sn 0.750 0.455 0.172
Sn 0.250 0.545 0.828
O 0.250 0.076 0.076
O 0.750 0.924 0.924


Record 7
Co2SiSbAu: optimized geometry, PBE-GGA.

Summary:
Symmetry   No. 123
ΔE_f (raw)   1064 meV/atom

a = 4.831 Å, b = 4.502 Å, c = 4.831 Å
α = 90.00°, β = 90.00°, γ = 90.00°
Fractional coordinates of all 5 atoms:
Au 0.000 0.000 0.000
Co 0.000 0.000 0.500
Co 0.500 0.000 0.000
Si 0.000 0.500 0.000
Sb 0.500 0.500 0.500


Record 8
ErSiAg2Se4: optimized geometry, PBE-GGA.

Summary:
Symmetry   No. 74
ΔE_f (raw)   -593 meV/atom

a = 7.982 Å, b = 7.982 Å, c = 8.150 Å
α = 120.69°, β = 120.69°, γ = 90.65°
Fractional coordinates of all 16 atoms:
Er 0.000 0.500 0.500
Er 0.000 0.500 0.000
Ag 0.500 0.000 0.000
Ag 0.000 0.000 0.500
Ag 0.500 0.500 0.000
Ag 0.500 0.000 0.500
Se 0.766 0.231 0.999
Se 0.234 0.769 0.001
Se 0.731 0.266 0.499
Se 0.750 0.750 0.523
Se 0.250 0.250 0.477
Se 0.750 0.750 0.977
Se 0.269 0.734 0.501
Se 0.250 0.250 0.023
Si 0.000 0.000 0.000
Si 0.500 0.500 0.500


Record 9
K2MgGa3Au4: optimized geometry, PBE-GGA.

Summary:
Symmetry   No. 115
DFT formation energy   -0.350 eV per atom

a = 4.691 Å, b = 4.691 Å, c = 10.640 Å
α = 90.00°, β = 90.00°, γ = 90.00°
Fractional coordinates of all 10 atoms:
K 0.500 0.000 0.242
K 0.000 0.500 0.758
Mg 0.500 0.500 0.500
Ga 0.500 0.000 0.882
Ga 0.000 0.500 0.118
Ga 0.000 0.000 0.500
Au 0.000 0.500 0.367
Au 0.000 0.000 0.000
Au 0.500 0.500 0.000
Au 0.500 0.000 0.633


Record 10
FeAg2Mo: optimized geometry, PBE-GGA.

Summary:
Symmetry   No. 71
E above lowest polymorph   0.271 eV per atom
DFT formation energy   0.573 eV per atom

a = 5.603 Å, b = 5.603 Å, c = 5.603 Å
α = 150.93°, β = 131.59°, γ = 57.46°
Fractional coordinates of all 4 atoms:
Ag 0.984 0.984 0.000
Ag 0.516 0.516 0.000
Mo 0.250 0.750 0.500
Fe 0.750 0.250 0.500


Record 11
Na2InPb5: optimized geometry, PBE-GGA.

Summary:
Symmetry   No. 107
DFT formation energy   -0.101 eV per atom

a = 6.999 Å, b = 6.999 Å, c = 6.877 Å
α = 120.58°, β = 120.58°, γ = 90.01°
Fractional coordinates of all 8 atoms:
Na 0.222 0.722 0.444
Na 0.722 0.222 0.444
Pb 0.723 0.222 0.944
Pb 0.223 0.223 0.944
Pb 0.721 0.721 0.944
Pb 0.222 0.723 0.944
Pb 0.722 0.722 0.445
In 0.222 0.222 0.443


Record 12
InCoTeI2: optimized geometry, PBE-GGA.

Summary:
Symmetry   No. 123
E above lowest polymorph   0.769 eV per atom
ΔE_f (raw)   909 meV/atom

a = 5.980 Å, b = 5.980 Å, c = 6.528 Å
α = 90.00°, β = 90.00°, γ = 90.00°
Fractional coordinates of all 5 atoms:
Co 0.500 0.500 0.500
In 0.000 0.000 0.500
Te 0.000 0.000 0.000
I 0.000 0.500 0.000
I 0.500 0.000 0.000


Record 13
La2Nd7Er4: optimized geometry, PBE-GGA.

Summary:
Symmetry   No. 162
DFT formation energy   0.181 eV per atom

a = 6.243 Å, b = 6.243 Å, c = 13.241 Å
α = 90.00°, β = 90.00°, γ = 120.00°
Fractional coordinates of all 13 atoms:
La 0.333 0.667 0.000
La 0.667 0.333 0.000
Nd 0.629 0.000 0.774
Nd 0.000 0.629 0.774
Nd 0.000 0.371 0.226
Nd 0.629 0.629 0.226
Nd 0.000 0.000 0.000
Nd 0.371 0.000 0.226
Nd 0.371 0.371 0.774
Er 0.667 0.333 0.500
Er 0.000 0.000 0.607
Er 0.333 0.667 0.500
Er 0.000 0.000 0.393


Record 14
NdAlZn2Ga: optimized geometry, PBE-GGA.

Summary:
Symmetry   No. 44
DFT formation energy   -0.462 eV per atom

a = 4.184 Å, b = 4.199 Å, c = 6.234 Å
α = 109.68°, β = 109.61°, γ = 90.00°
Fractional coordinates of all 5 atoms:
Zn 0.692 0.192 0.383
Zn 0.057 0.057 0.114
Nd 0.440 0.440 0.880
Al 0.191 0.691 0.381
Ga 0.833 0.833 0.666


Record 15
KInPCl2: optimized geometry, PBE-GGA.

Summary:
Symmetry   No. 123
E above lowest polymorph   0.000 eV per atom
ΔE_f (raw)   -625 meV/atom

a = 5.481 Å, b = 5.071 Å, c = 5.481 Å
α = 90.00°, β = 90.00°, γ = 90.00°
Fractional coordinates of all 5 atoms:
P 0.000 0.500 0.000
Cl 0.000 0.000 0.500
Cl 0.500 0.000 0.000
In 0.000 0.000 0.000
K 0.500 0.500 0.500


Record 16
YRhO3: optimized geometry, PBE-GGA.

Summary:
Symmetry   No. 15
ΔE_f (raw)   -2061 meV/atom

a = 5.581 Å, b = 5.707 Å, c = 9.322 Å
α = 107.75°, β = 90.00°, γ = 119.27°
Fractional coordinates of all 20 atoms:
Y 0.175 0.711 0.865
Y 0.825 0.289 0.135
Y 0.464 0.289 0.635
Y 0.536 0.711 0.365
O 0.108 0.296 0.315
O 0.729 0.356 0.864
O 0.812 0.704 0.185
O 0.627 0.356 0.364
O 0.373 0.644 0.636
O 0.188 0.296 0.815
O 0.341 0.131 0.060
O 0.659 0.869 0.940
O 0.790 0.131 0.560
O 0.210 0.869 0.440
O 0.271 0.644 0.136
O 0.892 0.704 0.685
Rh 0.500 0.500 0.000
Rh 0.774 0.000 0.750
Rh 0.000 0.500 0.500
Rh 0.226 0.000 0.250


Record 17
WSe2: optimized geometry, PBE-GGA.

Summary:
Symmetry   No. 187
ΔE_f (raw)   -563 meV/atom

a = 3.322 Å, b = 3.322 Å, c = 7.677 Å
α = 90.00°, β = 90.00°, γ = 120.00°
Fractional coordinates of all 3 atoms:
Se 0.333 0.667 0.219
Se 0.333 0.667 0.781
W 0.000 0.000 0.000


Record 18
Nb2HPd: optimized geometry, PBE-GGA.

Summary:
Symmetry   No. 122
E above lowest polymorph   0.528 eV per atom

a = 4.875 Å, b = 4.875 Å, c = 6.399 Å
α = 67.61°, β = 67.61°, γ = 90.00°
Fractional coordinates of all 8 atoms:
H 0.500 0.500 0.000
H 0.250 0.750 0.500
Nb 0.375 0.528 0.750
Nb 0.472 0.125 0.250
Nb 0.278 0.625 0.250
Nb 0.875 0.722 0.750
Pd 0.750 0.250 0.500
Pd 0.000 0.000 0.000


Record 19
TcHgGeOsW: optimized geometry, PBE-GGA.

Summary:
Symmetry   No. 8
E above lowest polymorph   0.174 eV per atom
DFT formation energy   0.377 eV per atom

a = 6.536 Å, b = 2.972 Å, c = 9.143 Å
α = 90.00°, β = 96.95°, γ = 90.00°
Fractional coordinates of all 10 atoms:
Ge 0.290 0.500 0.225
Ge 0.290 0.000 0.725
Os 0.745 0.000 0.607
Os 0.745 0.500 0.107
Tc 0.618 0.500 0.816
Tc 0.618 0.000 0.316
Hg 0.994 0.000 0.910
Hg 0.994 0.500 0.410
W 0.434 0.500 0.519
W 0.434 0.000 0.019


Record 20
ZrGaCu3: optimized geometry, PBE-GGA.

Summary:
Symmetry   No. 221
E above lowest polymorph   0.566 eV per atom
DFT formation energy   0.370 eV per atom

a = 4.413 Å, b = 4.413 Å, c = 4.413 Å
α = 90.00°, β = 90.00°, γ = 90.00°
Fractional coordinates of all 5 atoms:
Cu 0.000 0.500 0.000
Cu 0.000 0.000 0.500
Cu 0.500 0.000 0.000
Ga 0.000 0.000 0.000
Zr 0.500 0.500 0.500


Record 21
PuTlBi2: optimized geometry, PBE-GGA.

Summary:
Symmetry   No. 65
E above lowest polymorph   0.042 eV per atom
DFT formation energy   -0.177 eV per atom

a = 3.547 Å, b = 5.943 Å, c = 5.943 Å
α = 107.46°, β = 89.98°, γ = 89.98°
Fractional coordinates of all 4 atoms:
Tl 0.500 0.000 0.500
Pu 0.500 0.500 0.000
Bi 0.000 0.000 0.000
Bi 0.000 0.500 0.500


Record 22
Hf4Ti2Fe: optimized geometry, PBE-GGA.

Summary:
Symmetry   No. 139
DFT formation energy   0.610 eV per atom

a = 4.636 Å, b = 4.636 Å, c = 7.949 Å
α = 73.05°, β = 73.05°, γ = 90.00°
Fractional coordinates of all 7 atoms:
Fe 0.000 0.000 0.000
Hf 0.000 0.500 0.000
Hf 0.828 0.828 0.344
Hf 0.500 0.000 0.000
Hf 0.172 0.172 0.656
Ti 0.369 0.369 0.262
Ti 0.631 0.631 0.738


Record 23
Cs2Sn3F8: optimized geometry, PBE-GGA.

Summary:
Symmetry   No. 12
ΔE_f (raw)   -2380 meV/atom

a = 7.577 Å, b = 6.551 Å, c = 7.971 Å
α = 108.07°, β = 118.38°, γ = 90.00°
Fractional coordinates of all 13 atoms:
F 0.101 0.889 0.202
F 0.899 0.111 0.798
F 0.121 0.621 0.806
F 0.315 0.379 0.194
F 0.593 0.963 0.186
F 0.879 0.379 0.194
F 0.685 0.621 0.806
F 0.407 0.037 0.814
Cs 0.282 0.328 0.563
Cs 0.718 0.672 0.437
Sn 0.744 0.000 0.000
Sn 0.000 0.500 0.000
Sn 0.256 0.000 0.000